# Tm6Bi2SbTe3 | the Alexandria database | PBE | optimized geometry
data_Tm6Bi2SbTe3
_chemical_formula_sum 'Tm12 Bi4 Sb2 Te6'
_symmetry_space_group_name_H-M 'C 1 2/m 1'
_symmetry_Int_Tables_number 12
_symmetry_space_group_name_Hall '-C 2y'
_cell_length_a 18.992
_cell_length_b 4.358
_cell_length_c 8.693
_cell_angle_alpha 90.00
_cell_angle_beta 103.04
_cell_angle_gamma 90.00
loop_
_atom_site_label
_atom_site_fract_x
_atom_site_fract_y
_atom_site_fract_z
Tm1 0.000 0.000 0.240
Tm2 0.162 0.500 0.082
Tm3 0.166 0.500 0.583
Bi1 0.167 0.000 0.334
Sb1 0.000 0.500 0.000
Te1 0.000 0.500 0.500
Te2 0.168 0.000 0.834
# formation energy from raw total energies	-1052	meV/atom
# electronic total energy	-0.37215	Ry/atom
# calculated volume	29.2	Å³/atom
# total magnetization	0.000	μB/cell